1.
A geometry-optimized TmLuCuNi structure. Source: the Alexandria database, functional GGA-PBE.

Unit cell a=4.7461 b=4.7461 c=4.7461 alpha=60.00 beta=60.00 gamma=60.00
Closest atoms and distances in Å follow each position.
Positions (direct):
Tm 0.0000 0.0000 0.0000  4 Ni 2.91, 4 Cu 2.91
Lu 0.5000 0.5000 0.5000  4 Ni 2.91, 4 Cu 2.91
Cu 0.7500 0.7500 0.7500  4 Tm 2.91, 4 Lu 2.91
Ni 0.2500 0.2500 0.2500  4 Tm 2.91, 4 Lu 2.91

Output
Total moment: 0.00 μB/f.u.
Calculated volume: 18.9 A^3/atom
D(E_F): 0.84 states/eV/atom
Energy of formation: -381 meV/atom



2.
A geometry-optimized Tl3In4Pb2 structure. Source: the Alexandria database, functional GGA-PBE.

Unit cell a=7.7991 b=7.7991 c=7.2981 alpha=107.86 beta=107.86 gamma=39.08
Closest atoms and distances in Å follow each position.
Positions (direct):
Tl 0.0000 0.0000 0.0000  2 Tl 3.39, 6 In 3.40-3.49, 4 Pb 3.58
Tl 0.1120 0.1120 0.6604  7 In 3.29-3.61, 2 Tl 3.36-3.39, 3 Pb 3.39-3.51
Tl 0.8880 0.8880 0.3396  7 In 3.29-3.61, 2 Tl 3.36-3.39, 3 Pb 3.39-3.51
In 0.2232 0.2232 0.3355  4 Tl 3.29-3.55, 5 In 3.33-3.57, 3 Pb 3.35-3.49
In 0.4422 0.4422 0.6630  4 In 3.33-3.57, 2 Pb 3.34-3.42, 6 Tl 3.43-3.61
In 0.5578 0.5578 0.3370  4 In 3.33-3.57, 2 Pb 3.34-3.42, 6 Tl 3.43-3.61
In 0.7768 0.7768 0.6645  4 Tl 3.29-3.55, 5 In 3.33-3.57, 3 Pb 3.35-3.49
Pb 0.3332 0.3332 0.9997  5 In 3.34-3.49, 5 Tl 3.39-3.58, 2 Pb 3.58
Pb 0.6668 0.6668 0.0003  5 In 3.34-3.49, 5 Tl 3.39-3.58, 2 Pb 3.58

Output
Total moment: 0.00 μB/f.u.
E above lowest polymorph: 0.000 eV per atom
Calculated volume: 29.4 A^3/atom
D(E_F): 0.42 states/eV/atom
Energy of formation: 20 meV/atom



3.
A geometry-optimized Ac2PmNd4 structure. Source: the Alexandria database, functional GGA-PBE.

Unit cell a=10.0325 b=10.0325 c=10.0325 alpha=146.55 beta=146.55 gamma=48.04
Closest atoms and distances in Å follow each position.
Positions (direct):
Ac 0.1276 0.1276 0.0000  5 Nd 3.65-3.72
Ac 0.8724 0.8724 0.0000  5 Nd 3.65-3.72
Pm 0.5000 0.5000 0.0000  6 Nd 2.89-3.18
Nd 0.0000 0.5000 0.5000  2 Pm 2.89
Nd 0.3267 0.3267 0.0000  1 Pm 3.18
Nd 0.5000 0.0000 0.5000  2 Pm 2.89
Nd 0.6733 0.6733 0.0000  1 Pm 3.18

Output
Total moment: 0.41 μB/f.u.
E above lowest polymorph: 0.527 eV per atom
Calculated volume: 43.7 A^3/atom
D(E_F): 1.70 states/eV/atom
Energy of formation: 557 meV/atom



4.
A geometry-optimized SnHF3 structure. Source: the Alexandria database, functional GGA-PBE.

Unit cell a=4.3326 b=4.3326 c=4.3326 alpha=90.00 beta=90.00 gamma=90.00
Closest atoms and distances in Å follow each position.
Positions (direct):
Sn 0.0000 0.0000 0.0000  6 F 2.17
H 0.5000 0.5000 0.5000  12 F 3.06
F 0.0000 0.0000 0.5000  2 Sn 2.17
F 0.0000 0.5000 0.0000  2 Sn 2.17
F 0.5000 0.0000 0.0000  2 Sn 2.17

Output
Total moment: 0.99 μB/f.u.
E above lowest polymorph: 0.608 eV per atom
Calculated volume: 16.3 A^3/atom
D(E_F): 0.15 states/eV/atom



5.
A geometry-optimized Y3Mo structure. Source: the Alexandria database, functional GGA-PBE.

Unit cell a=3.5217 b=3.5217 c=8.8092 alpha=90.00 beta=90.00 gamma=90.09
Closest atoms and distances in Å follow each position.
Positions (direct):
Y 0.0000 0.0000 0.0000  12 Y 3.52-3.67
Y 0.5000 0.5000 0.3059  4 Mo 3.02
Y 0.5000 0.5000 0.6941  4 Mo 3.02
Mo 0.0000 0.0000 0.5000  8 Y 3.02

Output
Total moment: 0.00 μB/f.u.
E above lowest polymorph: 0.111 eV per atom
Calculated volume: 27.3 A^3/atom
D(E_F): 1.60 states/eV/atom
Energy of formation: 287 meV/atom



6.
A geometry-optimized Tb6Er2Tm3Mg structure. Source: the Alexandria database, functional GGA-PBE.

Unit cell a=6.0924 b=6.0924 c=11.5730 alpha=95.07 beta=95.07 gamma=120.04
Closest atoms and distances in Å follow each position.
Positions (direct):
Tb 0.0841 0.4174 0.7508  1 Mg 3.49, 2 Er 3.49, 3 Tm 3.50-3.51, 6 Tb 3.51-3.52
Tb 0.2490 0.2490 0.2503  3 Tm 3.49, 2 Er 3.49, 1 Mg 3.51, 6 Tb 3.51-3.52
Tb 0.4174 0.0841 0.7508  1 Mg 3.49, 2 Er 3.49, 3 Tm 3.50-3.51, 6 Tb 3.51-3.52
Tb 0.5826 0.9159 0.2492  1 Mg 3.49, 2 Er 3.49, 3 Tm 3.50-3.51, 6 Tb 3.51-3.52
Tb 0.7510 0.7510 0.7497  3 Tm 3.49, 2 Er 3.49, 1 Mg 3.51, 6 Tb 3.51-3.52
Tb 0.9159 0.5826 0.2492  1 Mg 3.49, 2 Er 3.49, 3 Tm 3.50-3.51, 6 Tb 3.51-3.52
Er 0.1662 0.8338 0.0000  6 Tb 3.49, 3 Er 3.51-3.52, 3 Mg 3.51-3.52
Er 0.8338 0.1662 0.0000  6 Tb 3.49, 3 Er 3.51-3.52, 3 Mg 3.51-3.52
Tm 0.0000 0.0000 0.5000  6 Tb 3.49-3.50, 6 Tm 3.51-3.52
Tm 0.3338 0.6662 0.5000  6 Tb 3.49-3.51, 6 Tm 3.51-3.52
Tm 0.6662 0.3338 0.5000  6 Tb 3.49-3.51, 6 Tm 3.51-3.52
Mg 0.5000 0.5000 0.0000  6 Tb 3.49-3.51, 6 Er 3.51-3.52

Output
Total moment: 0.00 μB/f.u.
Calculated volume: 30.5 A^3/atom
D(E_F): 1.26 states/eV/atom
Energy of formation: 28 meV/atom



7.
A geometry-optimized NbRuSeBr2 structure. Source: the Alexandria database, functional GGA-PBE.

Unit cell a=5.1901 b=5.1901 c=5.0420 alpha=90.00 beta=90.00 gamma=90.00
Closest atoms and distances in Å follow each position.
Positions (direct):
Nb 0.0000 0.0000 0.0000  2 Se 2.52, 4 Br 2.60
Ru 0.5000 0.5000 0.5000  8 Br 3.62, 4 Se 3.67
Se 0.0000 0.0000 0.5000  2 Nb 2.52
Br 0.0000 0.5000 0.0000  2 Nb 2.60
Br 0.5000 0.0000 0.0000  2 Nb 2.60

Output
Total moment: 3.72 μB/f.u.
E above lowest polymorph: 0.000 eV per atom
Calculated volume: 27.2 A^3/atom
D(E_F): 0.71 states/eV/atom
Raw formation energy: 684 meV per atom



8.
A geometry-optimized Tb6Pm2Tm5 structure. Source: the Alexandria database, functional GGA-PBE.

Unit cell a=11.6523 b=20.0818 c=3.5791 alpha=90.00 beta=90.00 gamma=90.00
Closest atoms and distances in Å follow each position.
Positions (direct):
Tb 0.0585 0.0785 0.0000  5 Tb 3.43-3.71, 6 Tm 3.44-3.57, 1 Pm 3.77
Tb 0.0816 0.3660 0.0000  6 Tm 3.37-3.53, 1 Pm 3.37, 4 Tb 3.49-3.58
Tb 0.1755 0.6275 0.5000  2 Tm 3.28-3.29, 4 Tb 3.49-3.58, 2 Pm 3.64
Tb 0.3245 0.1275 0.5000  2 Tm 3.28-3.29, 4 Tb 3.49-3.58, 2 Pm 3.64
Tb 0.4184 0.8660 0.0000  6 Tm 3.37-3.53, 1 Pm 3.37, 4 Tb 3.49-3.58
Tb 0.4415 0.5785 0.0000  5 Tb 3.43-3.71, 6 Tm 3.44-3.57, 1 Pm 3.77
Tb 0.5585 0.4215 0.0000  5 Tb 3.43-3.71, 6 Tm 3.44-3.57, 1 Pm 3.77
Tb 0.5816 0.1340 0.0000  6 Tm 3.37-3.53, 1 Pm 3.37, 4 Tb 3.49-3.58
Tb 0.6755 0.8725 0.5000  2 Tm 3.28-3.29, 4 Tb 3.49-3.58, 2 Pm 3.64
Tb 0.8245 0.3725 0.5000  2 Tm 3.28-3.29, 4 Tb 3.49-3.58, 2 Pm 3.64
Tb 0.9184 0.6340 0.0000  6 Tm 3.37-3.53, 1 Pm 3.37, 4 Tb 3.49-3.58
Tb 0.9415 0.9215 0.0000  5 Tb 3.43-3.71, 6 Tm 3.44-3.57, 1 Pm 3.77
Pm 0.1648 0.7853 0.0000  4 Tb 3.37-3.77, 6 Tm 3.52-3.75, 2 Pm 3.58
Pm 0.3352 0.2853 0.0000  4 Tb 3.37-3.77, 6 Tm 3.52-3.75, 2 Pm 3.58
Pm 0.6648 0.7147 0.0000  4 Tb 3.37-3.77, 6 Tm 3.52-3.75, 2 Pm 3.58
Pm 0.8352 0.2147 0.0000  4 Tb 3.37-3.77, 6 Tm 3.52-3.75, 2 Pm 3.58
Tm 0.0000 0.5000 0.5000  6 Tb 3.28-3.37, 4 Tm 3.58-3.66
Tm 0.0951 0.2230 0.5000  5 Tb 3.29-3.44, 4 Pm 3.52-3.55, 2 Tm 3.58
Tm 0.1988 0.9480 0.5000  7 Tb 3.53-3.89, 3 Tm 3.58-3.66, 2 Pm 3.75
Tm 0.3012 0.4480 0.5000  7 Tb 3.53-3.89, 3 Tm 3.58-3.66, 2 Pm 3.75
Tm 0.4049 0.7230 0.5000  5 Tb 3.29-3.44, 4 Pm 3.52-3.55, 2 Tm 3.58
Tm 0.5000 0.0000 0.5000  6 Tb 3.28-3.37, 4 Tm 3.58-3.66
Tm 0.5951 0.2770 0.5000  5 Tb 3.29-3.44, 4 Pm 3.52-3.55, 2 Tm 3.58
Tm 0.6988 0.5520 0.5000  7 Tb 3.53-3.89, 3 Tm 3.58-3.66, 2 Pm 3.75
Tm 0.8012 0.0520 0.5000  7 Tb 3.53-3.89, 3 Tm 3.58-3.66, 2 Pm 3.75
Tm 0.9049 0.7770 0.5000  5 Tb 3.29-3.44, 4 Pm 3.52-3.55, 2 Tm 3.58

Output
Total moment: 0.00 μB/f.u.
Calculated volume: 32.2 A^3/atom
D(E_F): 1.25 states/eV/atom
Energy of formation: 100 meV/atom



9.
A geometry-optimized Sm6Dy5Ho structure. Source: the Alexandria database, functional GGA-PBE.

Unit cell a=9.4783 b=9.4783 c=9.4783 alpha=148.98 beta=115.54 gamma=73.26
Closest atoms and distances in Å follow each position.
Positions (direct):
Sm 0.0832 0.3334 0.7499  7 Dy 3.58, 1 Ho 3.58, 4 Sm 3.58-3.59
Sm 0.2498 0.0000 0.2498  6 Dy 3.58, 2 Ho 3.58, 4 Sm 3.58
Sm 0.4165 0.6666 0.7499  7 Dy 3.58, 1 Ho 3.58, 4 Sm 3.58-3.59
Sm 0.5835 0.3334 0.2501  7 Dy 3.58, 1 Ho 3.58, 4 Sm 3.58-3.59
Sm 0.7502 0.0000 0.7502  6 Dy 3.58, 2 Ho 3.58, 4 Sm 3.58
Sm 0.9168 0.6666 0.2501  7 Dy 3.58, 1 Ho 3.58, 4 Sm 3.58-3.59
Dy 0.1666 0.1666 0.0000  8 Sm 3.58, 2 Ho 3.58, 2 Dy 3.59
Dy 0.3333 0.8333 0.5000  8 Sm 3.58, 4 Dy 3.59
Dy 0.5000 0.5000 0.0000  8 Sm 3.58, 4 Dy 3.59
Dy 0.6667 0.1667 0.5000  8 Sm 3.58, 4 Dy 3.59
Dy 0.8334 0.8334 0.0000  8 Sm 3.58, 2 Ho 3.58, 2 Dy 3.59
Ho 0.0000 0.5000 0.5000  8 Sm 3.58, 4 Dy 3.58

Output
Total moment: 0.00 μB/f.u.
Calculated volume: 32.5 A^3/atom
D(E_F): 1.38 states/eV/atom
Energy of formation: 17 meV/atom



10.
A geometry-optimized ReS3Cl structure. Source: the Alexandria database, functional GGA-PBE.

Unit cell a=4.5975 b=4.5975 c=4.5975 alpha=90.00 beta=90.00 gamma=90.00
Closest atoms and distances in Å follow each position.
Positions (direct):
Re 0.0000 0.0000 0.0000  12 S 3.25
S 0.0000 0.5000 0.5000  2 Cl 2.30
S 0.5000 0.0000 0.5000  2 Cl 2.30
S 0.5000 0.5000 0.0000  2 Cl 2.30
Cl 0.5000 0.5000 0.5000  6 S 2.30

Output
Total moment: 4.00 μB/f.u.
E above lowest polymorph: 1.549 eV per atom
Calculated volume: 19.4 A^3/atom
D(E_F): 0.76 states/eV/atom
Raw formation energy: 1861 meV per atom